(1)
First-principles (GGA-PBE) data for a relaxed structure of Ac2TlIn4Cu3, as listed in the Alexandria database.

Its energy relative to the elements is -249 meV/atom. The crystal system is tetragonal.

It has space group P-4m2 (No. 115), with a = 4.641 Å, b = 4.641 Å, c = 11.457 Å, α = 90.00°, β = 90.00° and γ = 90.00°. The inequivalent atoms are Ac at (0.000, 0.500, 0.244), Tl at (0.000, 0.000, 0.500), In at (0.000, 0.000, 0.000), In at (0.000, 0.500, 0.648), In at (0.500, 0.500, 0.000), Cu at (0.000, 0.500, 0.875) and Cu at (0.500, 0.500, 0.500).

***

(2)
First-principles (GGA-PBE) data for a relaxed structure of SrTl4Cd3F12, as listed in the Alexandria database.

The crystal system is cubic. For the formation energy from raw total energies, the calculation gives -2269 meV per atom.

It has space group Im-3m (No. 229), with a = 9.122 Å, b = 9.122 Å, c = 9.122 Å, α = 90.00°, β = 90.00° and γ = 90.00°. The inequivalent atoms are Sr at (0.000, 0.000, 0.000), Tl at (0.250, 0.250, 0.250), Cd at (0.000, 0.000, 0.500), F at (0.000, 0.000, 0.259) and F at (0.000, 0.250, 0.500).

***

Number 1: energy -36.31 eV for the cell shown. Number 2: energy -163.45 eV for the cell shown.